# Rb2GaNiF6 | Alexandria via LeMat-Bulk | GGA+U | optimized geometry
# VASP energy in eV per atom: -4.316
# D(E_F) in states/eV per cell: 0.0
data_Rb2GaNiF6
_chemical_formula_sum 'Rb4 Ga2 Ni2 F12'
_cell_length_a 5.743
_cell_length_b 5.743
_cell_length_c 9.447
_cell_angle_alpha 90.00
_cell_angle_beta 90.00
_cell_angle_gamma 90.00
_space_group_name_H-M_alt 'I 4/m m m'
_space_group_IT_number 139
_space_group_name_Hall '-I 4 2'
loop_
_atom_site_label
_atom_site_type_symbol
_atom_site_fract_x
_atom_site_fract_y
_atom_site_fract_z
Rb1 Rb 0.000 0.500 0.250
Ga1 Ga 0.000 0.000 0.000
Ni1 Ni 0.000 0.000 0.500
F1 F 0.000 0.000 0.201
F2 F 0.241 0.241 0.000